[1]
# PBE CrAgRu2, relaxed
# - relative energy among the computed polymorphs (eV/atom) = 0.195
# - calculated formation energy (eV per atom) = 0.4211
# - ρ (g cm⁻³) = 10.3
data_CrAgRu2
_chemical_formula_sum 'Cr1 Ag1 Ru2'
_space_group_name_H-M_alt 'P 1'
_space_group_IT_number 1
_cell_length_a 5.280
_cell_length_b 5.280
_cell_length_c 5.280
_cell_angle_alpha 149.26
_cell_angle_beta 128.49
_cell_angle_gamma 61.19
loop_
_space_group_symop_operation_xyz
'x,y,z'
loop_
_atom_site_label
_atom_site_fract_x
_atom_site_fract_y
_atom_site_fract_z
Cr1 0.000 0.000 0.000
Ag1 0.500 0.500 0.000
Ru1 0.217 0.717 0.500
Ru2 0.783 0.283 0.500

[2]
# PBE BaSr4Sn4, relaxed
# - calculated formation energy (eV per atom) = -0.4936
# - ρ (g cm⁻³) = 4.1
data_BaSr4Sn4
_chemical_formula_sum 'Ba2 Sr8 Sn8'
_space_group_name_H-M_alt 'P 1'
_space_group_IT_number 1
_cell_length_a 10.778
_cell_length_b 10.778
_cell_length_c 6.698
_cell_angle_alpha 90.00
_cell_angle_beta 90.00
_cell_angle_gamma 90.00
loop_
_space_group_symop_operation_xyz
'x,y,z'
loop_
_atom_site_label
_atom_site_fract_x
_atom_site_fract_y
_atom_site_fract_z
Ba1 0.250 0.250 0.250
Ba2 0.750 0.750 0.750
Sr1 0.091 0.644 0.127
Sr2 0.144 0.909 0.627
Sr3 0.356 0.591 0.627
Sr4 0.409 0.856 0.127
Sr5 0.591 0.144 0.873
Sr6 0.644 0.409 0.373
Sr7 0.856 0.091 0.373
Sr8 0.909 0.356 0.873
Sn1 0.037 0.603 0.627
Sn2 0.103 0.963 0.127
Sn3 0.397 0.537 0.127
Sn4 0.463 0.897 0.627
Sn5 0.537 0.103 0.373
Sn6 0.603 0.463 0.873
Sn7 0.897 0.037 0.873
Sn8 0.963 0.397 0.373

[3]
# PBE Li3WS, relaxed
# - relative energy among the computed polymorphs (eV/atom) = 0.000
# - E_form (uncorrected) (eV/atom) = 0.503
# - ρ (g cm⁻³) = 4.0
data_Li3WS
_chemical_formula_sum 'Li3 W1 S1'
_space_group_name_H-M_alt 'P 1'
_space_group_IT_number 1
_cell_length_a 4.630
_cell_length_b 4.630
_cell_length_c 4.630
_cell_angle_alpha 90.00
_cell_angle_beta 90.00
_cell_angle_gamma 90.00
loop_
_space_group_symop_operation_xyz
'x,y,z'
loop_
_atom_site_label
_atom_site_fract_x
_atom_site_fract_y
_atom_site_fract_z
Li1 0.000 0.000 0.500
Li2 0.000 0.500 0.000
Li3 0.500 0.000 0.000
W1 0.500 0.500 0.500
S1 0.000 0.000 0.000

[4]
# PBE Tb12Cd6Cu, relaxed
# - calculated formation energy (eV per atom) = -0.0884
# - ρ (g cm⁻³) = 8.4
data_Tb12Cd6Cu
_chemical_formula_sum 'Tb12 Cd6 Cu1'
_space_group_name_H-M_alt 'P 1'
_space_group_IT_number 1
_cell_length_a 8.055
_cell_length_b 8.055
_cell_length_c 8.055
_cell_angle_alpha 88.63
_cell_angle_beta 88.63
_cell_angle_gamma 88.63
loop_
_space_group_symop_operation_xyz
'x,y,z'
loop_
_atom_site_label
_atom_site_fract_x
_atom_site_fract_y
_atom_site_fract_z
Tb1 0.031 0.946 0.304
Tb2 0.054 0.696 0.969
Tb3 0.140 0.482 0.356
Tb4 0.304 0.031 0.946
Tb5 0.356 0.140 0.482
Tb6 0.482 0.356 0.140
Tb7 0.518 0.644 0.860
Tb8 0.644 0.860 0.518
Tb9 0.696 0.969 0.054
Tb10 0.860 0.518 0.644
Tb11 0.946 0.304 0.031
Tb12 0.969 0.054 0.696
Cd1 0.235 0.391 0.761
Cd2 0.239 0.765 0.609
Cd3 0.391 0.761 0.235
Cd4 0.609 0.239 0.765
Cd5 0.761 0.235 0.391
Cd6 0.765 0.609 0.239
Cu1 0.500 0.500 0.500

[5]
# PBE KCeCoS3, relaxed
# - E_form (uncorrected) (eV/atom) = -1.319
# - ρ (g cm⁻³) = 3.6
data_KCeCoS3
_chemical_formula_sum 'K2 Ce2 Co2 S6'
_space_group_name_H-M_alt 'P 1'
_space_group_IT_number 1
_cell_length_a 8.896
_cell_length_b 3.942
_cell_length_c 9.091
_cell_angle_alpha 90.00
_cell_angle_beta 106.63
_cell_angle_gamma 90.00
loop_
_space_group_symop_operation_xyz
'x,y,z'
loop_
_atom_site_label
_atom_site_fract_x
_atom_site_fract_y
_atom_site_fract_z
K1 0.189 0.250 0.226
K2 0.811 0.750 0.774
Ce1 0.324 0.750 0.833
Ce2 0.676 0.250 0.167
Co1 0.083 0.250 0.586
Co2 0.917 0.750 0.414
S1 0.118 0.250 0.846
S2 0.174 0.750 0.521
S3 0.450 0.750 0.154
S4 0.550 0.250 0.846
S5 0.826 0.250 0.479
S6 0.882 0.750 0.154

[6]
# PBE RbNaAs2, relaxed
# - relative energy among the computed polymorphs (eV/atom) = 0.311
# - calculated formation energy (eV per atom) = 0.1695
# - ρ (g cm⁻³) = 3.9
data_RbNaAs2
_chemical_formula_sum 'Rb1 Na1 As2'
_space_group_name_H-M_alt 'P 1'
_space_group_IT_number 1
_cell_length_a 5.396
_cell_length_b 5.396
_cell_length_c 5.396
_cell_angle_alpha 60.00
_cell_angle_beta 60.00
_cell_angle_gamma 60.00
loop_
_space_group_symop_operation_xyz
'x,y,z'
loop_
_atom_site_label
_atom_site_fract_x
_atom_site_fract_y
_atom_site_fract_z
Rb1 0.000 0.000 0.000
Na1 0.500 0.500 0.500
As1 0.250 0.250 0.250
As2 0.750 0.750 0.750

[7]
# PBE KRb2ZnAg, relaxed
# - relative energy among the computed polymorphs (eV/atom) = 0.000
# - calculated formation energy (eV per atom) = 0.1307
# - ρ (g cm⁻³) = 2.5
data_KRb2ZnAg
_chemical_formula_sum 'K1 Rb2 Zn1 Ag1'
_space_group_name_H-M_alt 'P 1'
_space_group_IT_number 1
_cell_length_a 6.954
_cell_length_b 6.954
_cell_length_c 5.230
_cell_angle_alpha 90.00
_cell_angle_beta 90.00
_cell_angle_gamma 90.00
loop_
_space_group_symop_operation_xyz
'x,y,z'
loop_
_atom_site_label
_atom_site_fract_x
_atom_site_fract_y
_atom_site_fract_z
K1 0.000 0.000 0.000
Rb1 0.000 0.500 0.500
Rb2 0.500 0.000 0.500
Zn1 0.500 0.500 0.000
Ag1 0.500 0.500 0.500

[8]
# PBE RbCaP2Pt, relaxed
# - calculated formation energy (eV per atom) = 1.0350
# - ρ (g cm⁻³) = 4.1
data_RbCaP2Pt
_chemical_formula_sum 'Rb1 Ca1 P2 Pt1'
_space_group_name_H-M_alt 'P 1'
_space_group_IT_number 1
_cell_length_a 5.211
_cell_length_b 5.211
_cell_length_c 5.721
_cell_angle_alpha 90.00
_cell_angle_beta 90.00
_cell_angle_gamma 90.00
loop_
_space_group_symop_operation_xyz
'x,y,z'
loop_
_atom_site_label
_atom_site_fract_x
_atom_site_fract_y
_atom_site_fract_z
Rb1 0.000 0.000 0.000
Ca1 0.000 0.000 0.500
P1 0.000 0.500 0.500
P2 0.500 0.000 0.500
Pt1 0.500 0.500 0.000

[9]
# PBE TmSnRh3, relaxed
# - calculated formation energy (eV per atom) = -0.5241
# - ρ (g cm⁻³) = 10.6
data_TmSnRh3
_chemical_formula_sum 'Tm2 Sn2 Rh6'
_space_group_name_H-M_alt 'P 1'
_space_group_IT_number 1
_cell_length_a 6.460
_cell_length_b 6.460
_cell_length_c 6.460
_cell_angle_alpha 129.03
_cell_angle_beta 108.63
_cell_angle_gamma 92.92
loop_
_space_group_symop_operation_xyz
'x,y,z'
loop_
_atom_site_label
_atom_site_fract_x
_atom_site_fract_y
_atom_site_fract_z
Tm1 0.267 0.017 0.250
Tm2 0.733 0.983 0.750
Sn1 0.000 0.500 0.500
Sn2 0.500 0.500 0.000
Rh1 0.038 0.288 0.750
Rh2 0.307 0.000 0.807
Rh3 0.307 0.500 0.307
Rh4 0.693 0.000 0.193
Rh5 0.693 0.500 0.693
Rh6 0.962 0.712 0.250

[10]
# PBE Pr8P3CI4, relaxed
# - E_form (uncorrected) (eV/atom) = -1.198
# - ρ (g cm⁻³) = 6.1
data_Pr8P3CI4
_chemical_formula_sum 'Pr8 P3 C1 I4'
_space_group_name_H-M_alt 'P 1'
_space_group_IT_number 1
_cell_length_a 9.172
_cell_length_b 9.172
_cell_length_c 9.172
_cell_angle_alpha 54.31
_cell_angle_beta 54.31
_cell_angle_gamma 54.31
loop_
_space_group_symop_operation_xyz
'x,y,z'
loop_
_atom_site_label
_atom_site_fract_x
_atom_site_fract_y
_atom_site_fract_z
Pr1 0.229 0.229 0.229
Pr2 0.254 0.714 0.714
Pr3 0.286 0.286 0.746
Pr4 0.286 0.746 0.286
Pr5 0.714 0.254 0.714
Pr6 0.714 0.714 0.254
Pr7 0.746 0.286 0.286
Pr8 0.771 0.771 0.771
P1 0.000 0.000 0.500
P2 0.000 0.500 0.000
P3 0.500 0.000 0.000
C1 0.500 0.500 0.500
I1 0.000 0.000 0.000
I2 0.000 0.500 0.500
I3 0.500 0.000 0.500
I4 0.500 0.500 0.000

[11]
# PBE Sr2CrPbSe, relaxed
# - E_form (uncorrected) (eV/atom) = -0.365
# - ρ (g cm⁻³) = 5.8
data_Sr2CrPbSe
_chemical_formula_sum 'Sr2 Cr1 Pb1 Se1'
_space_group_name_H-M_alt 'P 1'
_space_group_IT_number 1
_cell_length_a 5.588
_cell_length_b 5.588
_cell_length_c 4.717
_cell_angle_alpha 90.00
_cell_angle_beta 90.00
_cell_angle_gamma 90.00
loop_
_space_group_symop_operation_xyz
'x,y,z'
loop_
_atom_site_label
_atom_site_fract_x
_atom_site_fract_y
_atom_site_fract_z
Sr1 0.000 0.500 0.000
Sr2 0.500 0.000 0.000
Cr1 0.000 0.000 0.500
Pb1 0.500 0.500 0.500
Se1 0.000 0.000 0.000